Entry 1:
Below is TbDyCd14 after structural relaxation, with properties calculated at the PBE level.

Calculated total energy   -24.3 eV/f.u.
Energy relative to the elements   -0.139 eV/atom
Theoretical density   8.50 g cm⁻³
Space group   P4/mmm, No. 123

```
data_TbDyCd14
_chemical_formula_sum 'Tb1 Dy1 Cd14'
_cell_length_a 6.603
_cell_length_b 6.603
_cell_length_c 8.493
_cell_angle_alpha 90.00
_cell_angle_beta 90.00
_cell_angle_gamma 90.00
_symmetry_space_group_name_H-M 'P 1'
_symmetry_Int_Tables_number 1
loop_
_symmetry_equiv_pos_as_xyz
'x,y,z'
loop_
_atom_site_label
_atom_site_type_symbol
_atom_site_fract_x
_atom_site_fract_y
_atom_site_fract_z
_atom_site_occupancy
Tb1 Tb 0.000 0.000 0.000 1
Dy1 Dy 0.500 0.500 0.000 1
Cd1 Cd 0.000 0.000 0.500 1
Cd2 Cd 0.000 0.500 0.000 1
Cd3 Cd 0.000 0.500 0.500 1
Cd4 Cd 0.250 0.250 0.258 1
Cd5 Cd 0.250 0.250 0.742 1
Cd6 Cd 0.250 0.750 0.258 1
Cd7 Cd 0.250 0.750 0.742 1
Cd8 Cd 0.500 0.000 0.000 1
Cd9 Cd 0.500 0.000 0.500 1
Cd10 Cd 0.500 0.500 0.500 1
Cd11 Cd 0.750 0.250 0.258 1
Cd12 Cd 0.750 0.250 0.742 1
Cd13 Cd 0.750 0.750 0.258 1
Cd14 Cd 0.750 0.750 0.742 1
```

Entry 2:
Below is Y3BiTe after structural relaxation, with properties calculated at the PBE level.

Calculated total energy   -30.9 eV/f.u.
Theoretical density   6.68 g cm⁻³
Space group   Pnma, No. 62
Formation energy (no corrections)   -0.902 eV/atom
Relative energy among the computed polymorphs   0 meV per atom

```
data_Y3BiTe
_chemical_formula_sum 'Y12 Bi4 Te4'
_cell_length_a 8.224
_cell_length_b 4.397
_cell_length_c 16.592
_cell_angle_alpha 90.00
_cell_angle_beta 90.00
_cell_angle_gamma 90.00
_symmetry_space_group_name_H-M 'P 1'
_symmetry_Int_Tables_number 1
loop_
_symmetry_equiv_pos_as_xyz
'x,y,z'
loop_
_atom_site_label
_atom_site_type_symbol
_atom_site_fract_x
_atom_site_fract_y
_atom_site_fract_z
_atom_site_occupancy
Y1 Y 0.010 0.250 0.103 1
Y2 Y 0.140 0.250 0.565 1
Y3 Y 0.163 0.750 0.271 1
Y4 Y 0.337 0.250 0.771 1
Y5 Y 0.360 0.750 0.065 1
Y6 Y 0.490 0.750 0.603 1
Y7 Y 0.510 0.250 0.397 1
Y8 Y 0.640 0.250 0.935 1
Y9 Y 0.663 0.750 0.229 1
Y10 Y 0.837 0.250 0.729 1
Y11 Y 0.860 0.750 0.435 1
Y12 Y 0.990 0.750 0.897 1
Bi1 Bi 0.111 0.750 0.702 1
Bi2 Bi 0.389 0.250 0.202 1
Bi3 Bi 0.611 0.750 0.798 1
Bi4 Bi 0.889 0.250 0.298 1
Te1 Te 0.246 0.250 0.949 1
Te2 Te 0.254 0.750 0.449 1
Te3 Te 0.746 0.250 0.551 1
Te4 Te 0.754 0.750 0.051 1
```

Entry 3:
Below is Nd2ZnSi2 after structural relaxation, with properties calculated at the PBE level.

Calculated total energy   -24.9 eV/f.u.
Theoretical density   6.08 g cm⁻³
Space group   C2/m, No. 12
Formation energy (no corrections)   -0.639 eV/atom

```
data_Nd2ZnSi2
_chemical_formula_sum 'Nd4 Zn2 Si4'
_cell_length_a 5.920
_cell_length_b 5.920
_cell_length_c 10.745
_cell_angle_alpha 116.29
_cell_angle_beta 116.29
_cell_angle_gamma 42.55
_symmetry_space_group_name_H-M 'P 1'
_symmetry_Int_Tables_number 1
loop_
_symmetry_equiv_pos_as_xyz
'x,y,z'
loop_
_atom_site_label
_atom_site_type_symbol
_atom_site_fract_x
_atom_site_fract_y
_atom_site_fract_z
_atom_site_occupancy
Nd1 Nd 0.111 0.111 0.414 1
Nd2 Nd 0.287 0.287 0.850 1
Nd3 Nd 0.713 0.713 0.150 1
Nd4 Nd 0.889 0.889 0.586 1
Zn1 Zn 0.450 0.450 0.191 1
Zn2 Zn 0.550 0.550 0.809 1
Si1 Si 0.036 0.036 0.913 1
Si2 Si 0.389 0.389 0.387 1
Si3 Si 0.611 0.611 0.613 1
Si4 Si 0.964 0.964 0.087 1
```

Entry 4:
Below is PrErMgPt after structural relaxation, with properties calculated at the PBE level.

Calculated total energy   -19.1 eV/f.u.
Energy relative to the elements   -0.532 eV/atom
Theoretical density   8.96 g cm⁻³
Space group   F-43m, No. 216

```
data_PrErMgPt
_chemical_formula_sum 'Pr4 Er4 Mg4 Pt4'
_cell_length_a 7.313
_cell_length_b 7.313
_cell_length_c 7.313
_cell_angle_alpha 90.00
_cell_angle_beta 90.00
_cell_angle_gamma 90.00
_symmetry_space_group_name_H-M 'P 1'
_symmetry_Int_Tables_number 1
loop_
_symmetry_equiv_pos_as_xyz
'x,y,z'
loop_
_atom_site_label
_atom_site_type_symbol
_atom_site_fract_x
_atom_site_fract_y
_atom_site_fract_z
_atom_site_occupancy
Pr1 Pr 0.000 0.000 0.000 1
Pr2 Pr 0.000 0.500 0.500 1
Pr3 Pr 0.500 0.000 0.500 1
Pr4 Pr 0.500 0.500 0.000 1
Er1 Er 0.000 0.000 0.500 1
Er2 Er 0.000 0.500 0.000 1
Er3 Er 0.500 0.000 0.000 1
Er4 Er 0.500 0.500 0.500 1
Mg1 Mg 0.250 0.250 0.750 1
Mg2 Mg 0.250 0.750 0.250 1
Mg3 Mg 0.750 0.250 0.250 1
Mg4 Mg 0.750 0.750 0.750 1
Pt1 Pt 0.250 0.250 0.250 1
Pt2 Pt 0.250 0.750 0.750 1
Pt3 Pt 0.750 0.250 0.750 1
Pt4 Pt 0.750 0.750 0.250 1
```

Entry 5:
Below is TlZnHgSb after structural relaxation, with properties calculated at the PBE level.

Calculated total energy   -7.6 eV/f.u.
Theoretical density   9.56 g cm⁻³
Space group   F-43m, No. 216
Formation energy (no corrections)   0.127 eV/atom
Relative energy among the computed polymorphs   109 meV per atom

```
data_TlZnHgSb
_chemical_formula_sum 'Tl4 Zn4 Hg4 Sb4'
_cell_length_a 7.438
_cell_length_b 7.438
_cell_length_c 7.438
_cell_angle_alpha 90.00
_cell_angle_beta 90.00
_cell_angle_gamma 90.00
_symmetry_space_group_name_H-M 'P 1'
_symmetry_Int_Tables_number 1
loop_
_symmetry_equiv_pos_as_xyz
'x,y,z'
loop_
_atom_site_label
_atom_site_type_symbol
_atom_site_fract_x
_atom_site_fract_y
_atom_site_fract_z
_atom_site_occupancy
Tl1 Tl 0.000 0.000 0.000 1
Tl2 Tl 0.000 0.500 0.500 1
Tl3 Tl 0.500 0.000 0.500 1
Tl4 Tl 0.500 0.500 0.000 1
Zn1 Zn 0.250 0.250 0.750 1
Zn2 Zn 0.250 0.750 0.250 1
Zn3 Zn 0.750 0.250 0.250 1
Zn4 Zn 0.750 0.750 0.750 1
Hg1 Hg 0.250 0.250 0.250 1
Hg2 Hg 0.250 0.750 0.750 1
Hg3 Hg 0.750 0.250 0.750 1
Hg4 Hg 0.750 0.750 0.250 1
Sb1 Sb 0.000 0.000 0.500 1
Sb2 Sb 0.000 0.500 0.000 1
Sb3 Sb 0.500 0.000 0.000 1
Sb4 Sb 0.500 0.500 0.500 1
```

Entry 6:
Below is Cu2SiTe after structural relaxation, with properties calculated at the PBE level.

Calculated total energy   -15.6 eV/f.u.
Theoretical density   6.71 g cm⁻³
Space group   R-3m, No. 166
Formation energy (no corrections)   0.295 eV/atom
Relative energy among the computed polymorphs   230 meV per atom

```
data_Cu2SiTe
_chemical_formula_sum 'Cu6 Si3 Te3'
_cell_length_a 3.351
_cell_length_b 3.351
_cell_length_c 21.572
_cell_angle_alpha 90.00
_cell_angle_beta 90.00
_cell_angle_gamma 120.00
_symmetry_space_group_name_H-M 'P 1'
_symmetry_Int_Tables_number 1
loop_
_symmetry_equiv_pos_as_xyz
'x,y,z'
loop_
_atom_site_label
_atom_site_type_symbol
_atom_site_fract_x
_atom_site_fract_y
_atom_site_fract_z
_atom_site_occupancy
Cu1 Cu 0.000 0.000 0.239 1
Cu2 Cu 0.000 0.000 0.761 1
Cu3 Cu 0.333 0.667 0.428 1
Cu4 Cu 0.333 0.667 0.906 1
Cu5 Cu 0.667 0.333 0.094 1
Cu6 Cu 0.667 0.333 0.572 1
Si1 Si 0.000 0.000 0.500 1
Si2 Si 0.333 0.667 0.167 1
Si3 Si 0.667 0.333 0.833 1
Te1 Te 0.000 0.000 0.000 1
Te2 Te 0.333 0.667 0.667 1
Te3 Te 0.667 0.333 0.333 1
```